Entry 1:
La2SmZn2: optimized geometry, PBE.

```
La2SmZn2
1.0
-3.8215 6.0744 3.1386
3.8215 -6.0744 3.1386
3.8215 6.0744 -3.1386
La Sm Zn
4 2 4
Direct
0.2022 0.1649 0.3671
0.2978 0.6649 0.9627
0.7022 0.3351 0.0373
0.7978 0.8351 0.6329
0.2500 0.7500 0.5000
0.7500 0.2500 0.5000
0.0569 0.8371 0.8940
0.4431 0.3371 0.7802
0.5569 0.6629 0.2198
0.9431 0.1629 0.1060
```

Results
Total moment ... 0.00 μB/cell
DFT total energy ... -3.4649 eV per atom
Energy relative to the lowest polymorph listed for this composition ... 190 meV/atom
Formation energy from the elements ... -3.9 kJ/mol of atoms
Symmetry ... Ibam (72)


Entry 2:
La3SmZn4: optimized geometry, PBE.

```
La3SmZn4
1.0
3.7307 0.0000 0.0000
0.0000 3.7307 0.0000
0.0000 0.0000 14.9493
La Sm Zn
3 1 4
Direct
0.0000 0.0000 0.0000
0.0000 0.0000 0.2543
0.0000 0.0000 0.7457
0.0000 0.0000 0.5000
0.5000 0.5000 0.1262
0.5000 0.5000 0.3847
0.5000 0.5000 0.6153
0.5000 0.5000 0.8738
```

Results
Total moment ... 0.00 μB/cell
DFT total energy ... -3.3840 eV per atom
Formation energy from the elements ... -29.8 kJ/mol of atoms
Symmetry ... P4/mmm (123)


Entry 3:
LaSm7Zn4: optimized geometry, PBE.

```
LaSm7Zn4
1.0
7.0879 -2.8382 0.0000
7.0879 2.8382 0.0000
-5.3711 0.0000 8.2897
La Sm Zn
1 7 4
Direct
0.0000 0.0000 0.0000
0.0699 0.0699 0.4053
0.2064 0.2064 0.8798
0.2791 0.2791 0.3296
0.5000 0.5000 0.0000
0.7209 0.7209 0.6704
0.7936 0.7936 0.1202
0.9301 0.9301 0.5947
0.3209 0.3209 0.6618
0.4607 0.4607 0.2683
0.5393 0.5393 0.7317
0.6791 0.6791 0.3382
```

Results
Total moment ... 0.36 μB/cell
DFT total energy ... -3.6011 eV per atom
Formation energy from the elements ... -1.3 kJ/mol of atoms
Symmetry ... C2/m (12)


Entry 4:
La2Sm3Zn2: optimized geometry, PBE.

```
La2Sm3Zn2
1.0
5.9448 -2.4200 0.0000
5.9448 2.4200 0.0000
-3.7090 0.0000 7.3796
La Sm Zn
2 3 2
Direct
0.1386 0.1386 0.2974
0.8614 0.8614 0.7026
0.3633 0.3633 0.0287
0.5000 0.5000 0.5000
0.6367 0.6367 0.9713
0.1393 0.1393 0.6906
0.8607 0.8607 0.3094
```

Results
Total moment ... 0.00 μB/cell
DFT total energy ... -3.8845 eV per atom
Energy relative to the lowest polymorph listed for this composition ... 41 meV/atom
Formation energy from the elements ... -8.7 kJ/mol of atoms
Symmetry ... C2/m (12)


Entry 5:
LaSmZn4: optimized geometry, PBE.

```
LaSmZn4
1.0
-2.3050 3.6029 3.9852
2.3050 -3.6029 3.9852
2.3050 3.6029 -3.9852
La Sm Zn
1 1 4
Direct
0.0000 0.0000 0.0000
0.5000 0.0000 0.5000
0.0860 0.3331 0.7528
0.4197 0.6669 0.7528
0.5803 0.3331 0.2472
0.9140 0.6669 0.2472
```

Results
Total moment ... 0.00 μB/cell
DFT total energy ... -2.8043 eV per atom
Energy relative to the lowest polymorph listed for this composition ... 0 meV/atom
Formation energy from the elements ... -33.5 kJ/mol of atoms
Symmetry ... Immm (71)


Entry 6:
La3Sm3Zn2: optimized geometry, PBE.

```
La3Sm3Zn2
1.0
2.6057 -5.9254 0.0000
2.6057 5.9254 0.0000
0.0000 0.0000 15.8514
La Sm Zn
6 6 4
Direct
0.0304 0.9696 0.6094
0.0304 0.9696 0.8906
0.2836 0.7164 0.7500
0.7164 0.2836 0.2500
0.9696 0.0304 0.1094
0.9696 0.0304 0.3906
0.3521 0.6479 0.5272
0.3521 0.6479 0.9728
0.4415 0.5585 0.2500
0.5585 0.4415 0.7500
0.6479 0.3521 0.0272
0.6479 0.3521 0.4728
0.2365 0.7635 0.1364
0.2365 0.7635 0.3636
0.7635 0.2365 0.6364
0.7635 0.2365 0.8636
```

Results
Total moment ... 0.00 μB/cell
DFT total energy ... -4.0175 eV per atom
Formation energy from the elements ... -7.9 kJ/mol of atoms
Symmetry ... Cmcm (63)